Version i
## BaSe2F (PBE)

Data for a geometry-optimized BaSe2F structure.

Calculated values
The value obtained for the density of states at the Fermi level is 0.66 states/eV/f.u. As for the symmetry: I-42d.

Lattice parameters (Å, degrees): 3.9329 3.9329 25.0224 90.00 90.00 90.00
Fractional coordinates of all 16 atoms:
Ba1 0.0000 0.0000 0.0000
Ba2 0.0000 0.5000 0.2500
Ba3 0.5000 0.0000 0.7500
Ba4 0.5000 0.5000 0.5000
Se1 0.2503 0.2500 0.1250
Se2 0.2497 0.2500 0.6250
Se3 0.2500 0.7503 0.3750
Se4 0.2500 0.7497 0.8750
Se5 0.7500 0.2497 0.3750
Se6 0.7500 0.2503 0.8750
Se7 0.7497 0.7500 0.1250
Se8 0.7503 0.7500 0.6250
F1 0.0000 0.0000 0.5000
F2 0.0000 0.5000 0.7500
F3 0.5000 0.0000 0.2500
F4 0.5000 0.5000 0.0000

---

Version ii
## BaSe2F (PBE)

Data for a geometry-optimized BaSe2F structure.

Calculated values
The value obtained for the density of states at the Fermi level is 3.50 states/eV/f.u. As for the symmetry: Fm-3m.

Lattice parameters (Å, degrees): 7.5578 7.5578 7.5578 90.00 90.00 90.00
Fractional coordinates of all 16 atoms:
Ba1 0.0000 0.0000 0.0000
Ba2 0.0000 0.5000 0.5000
Ba3 0.5000 0.0000 0.5000
Ba4 0.5000 0.5000 0.0000
Se1 0.2500 0.2500 0.2500
Se2 0.2500 0.2500 0.7500
Se3 0.2500 0.7500 0.2500
Se4 0.2500 0.7500 0.7500
Se5 0.7500 0.2500 0.2500
Se6 0.7500 0.2500 0.7500
Se7 0.7500 0.7500 0.2500
Se8 0.7500 0.7500 0.7500
F1 0.0000 0.0000 0.5000
F2 0.0000 0.5000 0.0000
F3 0.5000 0.0000 0.0000
F4 0.5000 0.5000 0.5000

---

Which structure is the most stable? The one labeled version i.

---

Version i
## BaSe2F (PBE)

Data for a geometry-optimized BaSe2F structure.

Calculated values
The value obtained for the density of states at the Fermi level is 1.40 states/eV/f.u. As for the symmetry: R-3m.

Lattice parameters (Å, degrees): 5.3329 5.3329 19.9227 90.00 90.00 120.00
Fractional coordinates of all 12 atoms:
Ba1 0.0000 0.0000 0.0000
Ba2 0.3333 0.6667 0.6667
Ba3 0.6667 0.3333 0.3333
Se1 0.0000 0.0000 0.3932
Se2 0.0000 0.0000 0.6068
Se3 0.3333 0.6667 0.0599
Se4 0.3333 0.6667 0.2735
Se5 0.6667 0.3333 0.7265
Se6 0.6667 0.3333 0.9401
F1 0.0000 0.0000 0.5000
F2 0.3333 0.6667 0.1667
F3 0.6667 0.3333 0.8333

---

Version ii
## BaSe2F (PBE)

Data for a geometry-optimized BaSe2F structure.

Calculated values
The value obtained for the density of states at the Fermi level is 3.58 states/eV/f.u. As for the symmetry: R-3m.

Lattice parameters (Å, degrees): 4.8739 4.8739 15.8572 90.00 90.00 120.00
Fractional coordinates of all 12 atoms:
Ba1 0.0000 0.0000 0.0000
Ba2 0.3333 0.6667 0.6667
Ba3 0.6667 0.3333 0.3333
Se1 0.0000 0.0000 0.1918
Se2 0.0000 0.0000 0.8082
Se3 0.3333 0.6667 0.4749
Se4 0.3333 0.6667 0.8585
Se5 0.6667 0.3333 0.1415
Se6 0.6667 0.3333 0.5251
F1 0.0000 0.0000 0.5000
F2 0.3333 0.6667 0.1667
F3 0.6667 0.3333 0.8333

---

Which structure is the most stable? The one labeled version ii.

---

Version i
## BaSeF6 (PBE)

Data for a geometry-optimized BaSeF6 structure.

Calculated values
The value obtained for the density of states at the Fermi level is 0.00 states/eV/f.u. As for the symmetry: R-3m.

Lattice parameters (Å, degrees): 6.0351 6.0351 6.0351 53.15 53.15 53.15
Fractional coordinates of all 8 atoms:
Ba1 0.0000 0.0000 0.0000
Se1 0.5000 0.5000 0.5000
F1 0.0918 0.5888 0.5888
F2 0.4112 0.4112 0.9082
F3 0.4112 0.9082 0.4112
F4 0.5888 0.0918 0.5888
F5 0.5888 0.5888 0.0918
F6 0.9082 0.4112 0.4112

---

Version ii
## BaSeF6 (PBE)

Data for a geometry-optimized BaSeF6 structure.

Calculated values
The value obtained for the density of states at the Fermi level is 0.00 states/eV/f.u. As for the symmetry: C2/m.

Lattice parameters (Å, degrees): 6.6433 7.5638 5.0829 90.00 102.67 90.00
Fractional coordinates of all 16 atoms:
Ba1 0.0000 0.0000 0.0000
Ba2 0.5000 0.5000 0.0000
Se1 0.0000 0.5000 0.5000
Se2 0.5000 0.0000 0.5000
F1 0.1041 0.3235 0.7803
F2 0.1041 0.6765 0.7803
F3 0.2204 0.0000 0.5677
F4 0.2796 0.5000 0.4323
F5 0.3959 0.1765 0.2197
F6 0.3959 0.8235 0.2197
F7 0.6041 0.1765 0.7803
F8 0.6041 0.8235 0.7803
F9 0.7204 0.5000 0.5677
F10 0.7796 0.0000 0.4323
F11 0.8959 0.3235 0.2197
F12 0.8959 0.6765 0.2197

---

Which structure is the most stable? The one labeled version ii.

---

Version i
## BaSe3F (PBE)

Data for a geometry-optimized BaSe3F structure.

Calculated values
The value obtained for the density of states at the Fermi level is 2.05 states/eV/f.u. As for the symmetry: Pm-3m.

Lattice parameters (Å, degrees): 4.8706 4.8706 4.8706 90.00 90.00 90.00
Fractional coordinates of all 5 atoms:
Ba1 0.0000 0.0000 0.0000
Se1 0.0000 0.5000 0.5000
Se2 0.5000 0.0000 0.5000
Se3 0.5000 0.5000 0.0000
F1 0.5000 0.5000 0.5000

---

Version ii
## BaSe3F (PBE)

Data for a geometry-optimized BaSe3F structure.

Calculated values
The value obtained for the density of states at the Fermi level is 3.45 states/eV/f.u. As for the symmetry: Pm-3m.

Lattice parameters (Å, degrees): 6.3320 6.3320 6.3320 90.00 90.00 90.00
Fractional coordinates of all 5 atoms:
Ba1 0.0000 0.0000 0.0000
Se1 0.0000 0.0000 0.5000
Se2 0.0000 0.5000 0.0000
Se3 0.5000 0.0000 0.0000
F1 0.5000 0.5000 0.5000

---

Which structure is the most stable? The one labeled version i.

---

Version i
## Ba2SeF (PBE)

Data for a geometry-optimized Ba2SeF structure.

Calculated values
The value obtained for the density of states at the Fermi level is 2.73 states/eV/f.u. As for the symmetry: Fm-3m.

Lattice parameters (Å, degrees): 7.6333 7.6333 7.6333 90.00 90.00 90.00
Fractional coordinates of all 16 atoms:
Ba1 0.2500 0.2500 0.2500
Ba2 0.2500 0.2500 0.7500
Ba3 0.2500 0.7500 0.2500
Ba4 0.2500 0.7500 0.7500
Ba5 0.7500 0.2500 0.2500
Ba6 0.7500 0.2500 0.7500
Ba7 0.7500 0.7500 0.2500
Ba8 0.7500 0.7500 0.7500
Se1 0.0000 0.0000 0.0000
Se2 0.0000 0.5000 0.5000
Se3 0.5000 0.0000 0.5000
Se4 0.5000 0.5000 0.0000
F1 0.0000 0.0000 0.5000
F2 0.0000 0.5000 0.0000
F3 0.5000 0.0000 0.0000
F4 0.5000 0.5000 0.5000

---

Version ii
## Ba2SeF (PBE)

Data for a geometry-optimized Ba2SeF structure.

Calculated values
The value obtained for the density of states at the Fermi level is 2.18 states/eV/f.u. As for the symmetry: R-3m.

Lattice parameters (Å, degrees): 4.4372 4.4372 21.1270 90.00 90.00 120.00
Fractional coordinates of all 12 atoms:
Ba1 0.0000 0.0000 0.2428
Ba2 0.0000 0.0000 0.7572
Ba3 0.3333 0.6667 0.4239
Ba4 0.3333 0.6667 0.9095
Ba5 0.6667 0.3333 0.0905
Ba6 0.6667 0.3333 0.5761
Se1 0.0000 0.0000 0.0000
Se2 0.3333 0.6667 0.6667
Se3 0.6667 0.3333 0.3333
F1 0.0000 0.0000 0.5000
F2 0.3333 0.6667 0.1667
F3 0.6667 0.3333 0.8333

---

Which structure is the most stable? The one labeled version ii.

---

Version i
## BaSi2F (PBE)

Data for a geometry-optimized BaSi2F structure.

Calculated values
The value obtained for the density of states at the Fermi level is 1.80 states/eV/f.u. As for the symmetry: I-42d.

Lattice parameters (Å, degrees): 3.6647 3.6647 26.6179 90.00 90.00 90.00
Fractional coordinates of all 16 atoms:
Ba1 0.0000 0.0000 0.0000
Ba2 0.0000 0.5000 0.2500
Ba3 0.5000 0.0000 0.7500
Ba4 0.5000 0.5000 0.5000
Si1 0.2482 0.7500 0.1250
Si2 0.2500 0.2482 0.8750
Si3 0.2500 0.2518 0.3750
Si4 0.2518 0.7500 0.6250
Si5 0.7482 0.2500 0.6250
Si6 0.7500 0.7482 0.3750
Si7 0.7500 0.7518 0.8750
Si8 0.7518 0.2500 0.1250
F1 0.0000 0.0000 0.5000
F2 0.0000 0.5000 0.7500
F3 0.5000 0.0000 0.2500
F4 0.5000 0.5000 0.0000

---

Version ii
## BaSi2F (PBE)

Data for a geometry-optimized BaSi2F structure.

Calculated values
The value obtained for the density of states at the Fermi level is 3.79 states/eV/f.u. As for the symmetry: Fm-3m.

Lattice parameters (Å, degrees): 7.2044 7.2044 7.2044 90.00 90.00 90.00
Fractional coordinates of all 16 atoms:
Ba1 0.0000 0.0000 0.0000
Ba2 0.0000 0.5000 0.5000
Ba3 0.5000 0.0000 0.5000
Ba4 0.5000 0.5000 0.0000
Si1 0.2500 0.2500 0.2500
Si2 0.2500 0.2500 0.7500
Si3 0.2500 0.7500 0.2500
Si4 0.2500 0.7500 0.7500
Si5 0.7500 0.2500 0.2500
Si6 0.7500 0.2500 0.7500
Si7 0.7500 0.7500 0.2500
Si8 0.7500 0.7500 0.7500
F1 0.0000 0.0000 0.5000
F2 0.0000 0.5000 0.0000
F3 0.5000 0.0000 0.0000
F4 0.5000 0.5000 0.5000

---

Which structure is the most stable? The one labeled version i.